Density functional theory data (GGA-PBE) for crystalline KGa4Au6 at its relaxed geometry.

Cell and atoms, written as POSCAR:
```
KGa4Au6
1.0
4.404 0.000 0.000
0.000 7.546 0.000
0.000 -3.773 6.535
Au K Ga
6 1 4
direct
0.500 0.200 0.400
0.000 0.927 0.463
0.000 0.537 0.463
0.500 0.200 0.800
0.000 0.537 0.073
0.500 0.600 0.800
0.000 0.000 0.000
0.500 0.801 0.199
0.000 0.333 0.667
0.500 0.801 0.603
0.500 0.397 0.199
```

symmetry: P-6m2, No. 187
total magnetization: 0.00 μB per atom
crystal system: hexagonal
N(E_F): 3.42 states/eV/f.u.
formation enthalpy at 0 K: -2.59 eV/f.u.
excess energy over the best structure of this formula in the dataset: 0.0000 eV/atom